one | This record from the Alexandria database describes a relaxed Ba8ZnHg2 crystal. The functional is GGA-PBE.

D(E_F) = 1.5721 states/eV/atom

a = 10.421 Å, b = 15.194 Å, c = 7.414 Å
α = 90.00°, β = 108.90°, γ = 90.00°
Space group Cm (No. 8)
One atom of each set of equivalent atoms:
Ba 0.000 0.000 0.000
Ba 0.060 0.368 0.789
Ba 0.147 0.135 0.568
Ba 0.208 0.500 0.376
Ba 0.349 0.208 0.182
Zn 0.357 0.000 0.399
Hg 0.357 0.316 0.687



two | This record from the Alexandria database describes a relaxed Ba8ZnHg2 crystal. The functional is GGA-PBE.

D(E_F) = 1.3345 states/eV/atom

a = 21.302 Å, b = 5.968 Å, c = 8.299 Å
α = 90.00°, β = 106.80°, γ = 90.00°
Space group C2/m (No. 12)
One atom of each set of equivalent atoms:
Ba 0.034 0.000 0.301
Ba 0.092 0.500 0.939
Ba 0.166 0.500 0.468
Ba 0.206 0.000 0.819
Zn 0.000 0.500 0.500
Hg 0.186 0.000 0.216



In order of decreasing stability: two, one.



one | This record from the Alexandria database describes a relaxed BaZrHg3 crystal. The functional is GGA-PBE.

D(E_F) = 1.1204 states/eV/atom

a = 6.067 Å, b = 6.067 Å, c = 6.067 Å
α = 90.00°, β = 90.00°, γ = 90.00°
Space group Pm-3m (No. 221)
One atom of each set of equivalent atoms:
Ba 0.000 0.000 0.000
Zr 0.500 0.500 0.500
Hg 0.000 0.000 0.500



two | This record from the Alexandria database describes a relaxed BaZrHg3 crystal. The functional is GGA-PBE.

D(E_F) = 1.3021 states/eV/atom

a = 5.599 Å, b = 5.599 Å, c = 5.599 Å
α = 90.00°, β = 90.00°, γ = 90.00°
Space group Pm-3m (No. 221)
One atom of each set of equivalent atoms:
Ba 0.000 0.000 0.000
Zr 0.500 0.500 0.500
Hg 0.000 0.500 0.500



In order of decreasing stability: two, one.



one | This record from the Alexandria database describes a relaxed BaZr3Hg crystal. The functional is GGA-PBE.

D(E_F) = 1.3047 states/eV/atom

a = 5.288 Å, b = 5.288 Å, c = 5.288 Å
α = 90.00°, β = 90.00°, γ = 90.00°
Space group Pm-3m (No. 221)
One atom of each set of equivalent atoms:
Ba 0.000 0.000 0.000
Zr 0.000 0.000 0.500
Hg 0.500 0.500 0.500



two | This record from the Alexandria database describes a relaxed BaZr3Hg crystal. The functional is GGA-PBE.

D(E_F) = 2.1797 states/eV/atom

a = 5.473 Å, b = 5.473 Å, c = 5.473 Å
α = 90.00°, β = 90.00°, γ = 90.00°
Space group Pm-3m (No. 221)
One atom of each set of equivalent atoms:
Ba 0.000 0.000 0.000
Zr 0.000 0.500 0.500
Hg 0.500 0.500 0.500



In order of decreasing stability: two, one.



one | This record from the Alexandria database describes a relaxed BaLaHo crystal. The functional is GGA-PBE.

D(E_F) = 1.7665 states/eV/atom

a = 3.8279 Å, b = 3.8279 Å, c = 9.5630 Å
α = 90.00°, β = 90.00°, γ = 120.00°
Space group P3m1 (No. 156)
One atom of each set of equivalent atoms:
Ba 0.0000 0.0000 0.0000
La 0.3333 0.6667 0.6329
Ho 0.6667 0.3333 0.3423



two | This record from the Alexandria database describes a relaxed BaLaHo crystal. The functional is GGA-PBE.

D(E_F) = 1.6753 states/eV/atom

a = 3.852 Å, b = 3.852 Å, c = 16.616 Å
α = 90.00°, β = 90.00°, γ = 90.00°
Space group I4mm (No. 107)
One atom of each set of equivalent atoms:
Ba 0.000 0.000 0.000
La 0.000 0.000 0.687
Ho 0.000 0.000 0.323



In order of decreasing stability: two, one.



one | This record from the Alexandria database describes a relaxed Ba2LiHo crystal. The functional is GGA-PBE.

D(E_F) = 1.5126 states/eV/atom

a = 4.362 Å, b = 4.362 Å, c = 8.988 Å
α = 90.00°, β = 90.00°, γ = 90.00°
Space group P4/mmm (No. 123)
One atom of each set of equivalent atoms:
Ba 0.000 0.000 0.239
Li 0.500 0.500 0.000
Ho 0.500 0.500 0.500



two | This record from the Alexandria database describes a relaxed Ba2LiHo crystal. The functional is GGA-PBE.

D(E_F) = 1.2152 states/eV/atom

a = 3.7726 Å, b = 3.7726 Å, c = 39.7489 Å
α = 90.00°, β = 90.00°, γ = 120.00°
Space group R-3m (No. 166, hexagonal axes)
One atom of each set of equivalent atoms:
Ba 0.0000 0.0000 0.0893
Li 0.0000 0.0000 0.5000
Ho 0.0000 0.0000 0.0000



In order of decreasing stability: one, two.



one | This record from the Alexandria database describes a relaxed BaHoMg2 crystal. The functional is GGA-PBE.

D(E_F) = 1.0529 states/eV/atom

a = 3.983 Å, b = 3.983 Å, c = 8.384 Å
α = 90.00°, β = 90.00°, γ = 90.00°
Space group P4/mmm (No. 123)
One atom of each set of equivalent atoms:
Ba 0.000 0.000 0.000
Ho 0.000 0.000 0.500
Mg 0.500 0.500 0.297



two | This record from the Alexandria database describes a relaxed BaHoMg2 crystal. The functional is GGA-PBE.

D(E_F) = 0.9006 states/eV/atom

a = 3.6730 Å, b = 3.6730 Å, c = 34.1464 Å
α = 90.00°, β = 90.00°, γ = 120.00°
Space group R-3m (No. 166, hexagonal axes)
One atom of each set of equivalent atoms:
Ba 0.0000 0.0000 0.0000
Ho 0.0000 0.0000 0.5000
Mg 0.0000 0.0000 0.2430



In order of decreasing stability: one, two.



one | This record from the Alexandria database describes a relaxed BaHoMg crystal. The functional is GGA-PBE.

D(E_F) = 1.0449 states/eV/atom

a = 3.875 Å, b = 3.875 Å, c = 29.927 Å
α = 90.00°, β = 90.00°, γ = 90.00°
Space group I4/mmm (No. 139)
One atom of each set of equivalent atoms:
Ba 0.000 0.000 0.068
Ho 0.000 0.000 0.214
Mg 0.000 0.000 0.347



two | This record from the Alexandria database describes a relaxed BaHoMg crystal. The functional is GGA-PBE.

D(E_F) = 1.1788 states/eV/atom

a = 4.004 Å, b = 4.004 Å, c = 13.790 Å
α = 90.00°, β = 90.00°, γ = 90.00°
Space group I4mm (No. 107)
One atom of each set of equivalent atoms:
Ba 0.000 0.000 0.000
Ho 0.000 0.000 0.291
Mg 0.000 0.000 0.676



In order of decreasing stability: one, two.



one | This record from the Alexandria database describes a relaxed BaNd2Ho crystal. The functional is GGA-PBE.

D(E_F) = 1.3596 states/eV/atom

a = 3.6770 Å, b = 3.6770 Å, c = 39.3373 Å
α = 90.00°, β = 90.00°, γ = 120.00°
Space group R-3m (No. 166, hexagonal axes)
One atom of each set of equivalent atoms:
Ba 0.0000 0.0000 0.0000
Nd 0.0000 0.0000 0.0940
Ho 0.0000 0.0000 0.5000



two | This record from the Alexandria database describes a relaxed BaNd2Ho crystal. The functional is GGA-PBE.

D(E_F) = 1.3568 states/eV/atom

a = 3.765 Å, b = 3.765 Å, c = 10.886 Å
α = 90.00°, β = 90.00°, γ = 90.00°
Space group P4/mmm (No. 123)
One atom of each set of equivalent atoms:
Ba 0.000 0.000 0.000
Nd 0.500 0.500 0.283
Ho 0.000 0.000 0.500



In order of decreasing stability: two, one.